1.
The following is a DFT calculation (PBE-GGA) of an optimized crystal structure of LiAc2Sb.

a b c (Å): 8.0882 8.0882 8.0882
angles (deg): 90.00 90.00 90.00
Space group Fm-3m (No. 225)
One atom of each set of equivalent atoms:
Li1 0.0000 0.0000 0.0000
Ac1 0.2500 0.2500 0.2500
Sb1 0.0000 0.0000 0.5000

offset from the most stable computed form	9.9	kJ per mole of atoms
ΔE_f (raw)	-0.410	eV/atom

---

2.
The following is a DFT calculation (PBE-GGA) of an optimized crystal structure of K3Rb4BaI8.

a b c (Å): 10.4282 10.4282 25.7040
angles (deg): 90.00 90.00 120.00
Space group R-3m (No. 166, hexagonal axes)
One atom of each set of equivalent atoms:
K1 0.0000 0.5000 0.0000
Rb1 0.0000 0.0000 0.5000
Rb2 0.0000 0.5000 0.5000
Ba1 0.0000 0.0000 0.0000
I1 0.0000 0.0000 0.2540
I2 0.0076 0.5038 0.7442

ΔE_f (raw)	-1.434	eV/atom

---

3.
The following is a DFT calculation (PBE-GGA) of an optimized crystal structure of YCdSnPb.

a b c (Å): 4.4800 4.8101 4.8309
angles (deg): 90.00 90.00 90.00
Space group Pmmm (No. 47)
One atom of each set of equivalent atoms:
Y1 0.0000 0.0000 0.0000
Cd1 0.0000 0.5000 0.5000
Sn1 0.5000 0.5000 0.0000
Pb1 0.5000 0.0000 0.5000

DFT formation energy	-0.38	eV per atom

---

4.
The following is a DFT calculation (PBE-GGA) of an optimized crystal structure of LiBe2Ru.

a b c (Å): 5.4429 5.4429 5.4429
angles (deg): 90.00 90.00 90.00
Space group F-43m (No. 216)
One atom of each set of equivalent atoms:
Li1 0.0000 0.0000 0.0000
Be1 0.0000 0.0000 0.5000
Be2 0.2500 0.2500 0.2500
Ru1 0.2500 0.2500 0.7500

DFT formation energy	0.00	eV per atom

---

5.
The following is a DFT calculation (PBE-GGA) of an optimized crystal structure of ZrSc2Al.

a b c (Å): 3.4445 4.8888 10.2596
angles (deg): 90.00 90.00 90.00
Space group Immm (No. 71)
One atom of each set of equivalent atoms:
Zr1 0.0000 0.0000 0.0000
Sc1 0.0000 0.5000 0.2262
Al1 0.0000 0.0000 0.5000

DFT formation energy	-0.22	eV per atom

---

6.
The following is a DFT calculation (PBE-GGA) of an optimized crystal structure of BaCd3Sb3.

a b c (Å): 7.9919 7.9919 7.9919
angles (deg): 90.00 90.00 90.00
Space group Pm-3n (No. 223)
One atom of each set of equivalent atoms:
Ba1 0.0000 0.0000 0.0000
Cd1 0.0000 0.2500 0.5000
Sb1 0.0000 0.5000 0.2500

offset from the most stable computed form	10.6	kJ per mole of atoms
ΔE_f (raw)	-0.216	eV/atom

---

no.,total moment (Bohr magnetons per cell)
1,0.00
2,0.00
3,0.00
4,0.00
5,0.00
6,0.00